Computed, not measured: an optimized crystal structure of Mg4Si3 at the PBE level of DFT.

a = 6.477 Å, b = 7.644 Å, c = 11.887 Å
α = 93.46°, β = 97.86°, γ = 108.89°
Fractional coordinates of all 28 atoms:
Mg1 0.000 0.000 0.000
Mg2 0.006 0.570 0.955
Mg3 0.099 0.119 0.764
Mg4 0.111 0.156 0.487
Mg5 0.207 0.525 0.747
Mg6 0.300 0.157 0.239
Mg7 0.376 0.920 0.631
Mg8 0.410 0.618 0.215
Mg9 0.440 0.574 0.489
Mg10 0.565 0.687 0.979
Mg11 0.590 0.223 0.998
Mg12 0.617 0.185 0.484
Mg13 0.744 0.041 0.221
Mg14 0.779 0.687 0.743
Mg15 0.947 0.687 0.182
Mg16 0.967 0.601 0.526
Si1 0.008 0.330 0.119
Si2 0.052 0.393 0.328
Si3 0.222 0.861 0.386
Si4 0.262 0.356 0.986
Si5 0.288 0.871 0.869
Si6 0.334 0.887 0.087
Si7 0.446 0.331 0.661
Si8 0.669 0.989 0.831
Si9 0.692 0.437 0.327
Si10 0.769 0.307 0.775
Si11 0.775 0.907 0.570
Si12 0.813 0.806 0.373

ΔE_f (raw): 34 meV per atom
distance to the lowest polymorph of the same formula: 66 meV/atom